Density functional theory data (PBE) for a geometry-optimized DyZrTe4 structure.

```
DyZrTe4
1.0
6.8125 0.0000 0.0000
0.0000 4.0880 0.0000
-0.0434 0.0000 7.2229
Dy Zr Te
1 1 4
Direct
0.0000 0.0000 0.0000 Dy
0.0000 0.5000 0.5000 Zr
0.2610 0.0000 0.3462 Te
0.2673 0.5000 0.8168 Te
0.7327 0.5000 0.1832 Te
0.7390 0.0000 0.6538 Te
```

The value obtained for the density of states at the Fermi level is 3.3 states/eV/cell. Its uncorrected energy is -5.230 eV per atom.

---

Density functional theory data (PBE) for a geometry-optimized Be2NiTe structure.

```
Be2NiTe
1.0
2.1087 -2.1126 0.0000
2.1087 2.1126 0.0000
0.0000 0.0000 6.3264
Be Ni Te
2 1 1
Direct
0.0000 0.0000 0.1603 Be
0.0000 0.0000 0.8397 Be
0.5000 0.5000 0.0000 Ni
0.5000 0.5000 0.5000 Te
```

The value obtained for the density of states at the Fermi level is 1.7 states/eV/cell. Its uncorrected energy is -3.787 eV per atom.

---

no.,calculated density (Mg/m³)
1,6.3
2,6.0